Entry 1:
An optimized crystal structure of MoP2Au, computed with PBE-GGA.

The value obtained for the formation energy is 335 meV per atom. The excess energy over the best structure of this formula in the dataset comes out at 368 meV/atom. For the density of states at the Fermi level, the calculation gives 2.67 states/eV per cell. The spin magnetization is 0.00 Bohr magnetons per cell.

The space group is P2/m (No. 10) and the conventional cell measures 2.600, 4.490 and 5.770 Å, with angles of 90.00, 90.11 and 90.00 degrees. The distinct sites, in fractional coordinates, are Mo at (0.000, 0.000, 0.000), P at (0.001, 0.500, 0.204) and Au at (0.000, 0.000, 0.500).

***

Entry 2:
An optimized crystal structure of NaAsClO2, computed with PBE-GGA.

For the density of states at the Fermi level, the calculation gives 4.50 states/eV per cell. The spin magnetization is 0.00 Bohr magnetons per cell. The formation energy (no corrections) comes out at -6.0 eV/f.u.

The space group is P2_1/m (No. 11) and the conventional cell measures 6.619, 4.053 and 7.449 Å, with angles of 90.00, 116.24 and 90.00 degrees. The distinct sites, in fractional coordinates, are Na at (0.207, 0.250, 0.480), As at (0.125, 0.250, 0.927), Cl at (0.491, 0.750, 0.735), O at (0.010, 0.750, 0.329) and O at (0.081, 0.750, 0.966).

***

Entry 3:
An optimized crystal structure of K2IrF6, computed with PBE-GGA.

For the density of states at the Fermi level, the calculation gives 9.48 states/eV per cell. The spin magnetization is 1.01 Bohr magnetons per cell. The formation energy (no corrections) comes out at -19.7 eV/f.u.

The space group is P-3m1 (No. 164) and the conventional cell measures 5.8895, 5.8895 and 4.7271 Å, with angles of 90.00, 90.00 and 120.00 degrees. The distinct sites, in fractional coordinates, are K at (0.3333, 0.6667, 0.2110), Ir at (0.0000, 0.0000, 0.5000) and F at (0.1626, 0.3251, 0.7260).